Record 1
# GGA-PBE CsCuIrI6, optimized geometry
data_CsCuIrI6
_chemical_formula_sum 'Cs1 Cu1 Ir1 I6'
_symmetry_space_group_name_H-M 'P 1'
_symmetry_Int_Tables_number 1
_symmetry_space_group_name_Hall 'P 1'
_cell_length_a 7.1755
_cell_length_b 7.1755
_cell_length_c 8.8246
_cell_angle_alpha 90.00
_cell_angle_beta 90.00
_cell_angle_gamma 59.99
loop_
_atom_site_label
_atom_site_type_symbol
_atom_site_fract_x
_atom_site_fract_y
_atom_site_fract_z
I1 I 0.3722 0.6404 0.3263
I2 I 0.3721 0.9874 0.6737
I3 I 0.9874 0.3722 0.3263
I4 I 0.6403 0.9875 0.3264
I5 I 0.6404 0.3722 0.6736
I6 I 0.9875 0.6404 0.6736
Ir1 Ir 0.6666 0.6667 0.5000
Cs1 Cs 0.9999 0.0000 0.0000
Cu1 Cu 0.3333 0.3333 0.5000
# **Crystal system**: trigonal


Record 2
# GGA-PBE CsKCuI4, optimized geometry
data_CsKCuI4
_chemical_formula_sum 'Cs2 K2 Cu2 I8'
_symmetry_space_group_name_H-M 'P 1'
_symmetry_Int_Tables_number 1
_symmetry_space_group_name_Hall 'P 1'
_cell_length_a 8.5803
_cell_length_b 7.1275
_cell_length_c 10.6769
_cell_angle_alpha 90.00
_cell_angle_beta 106.03
_cell_angle_gamma 90.00
loop_
_atom_site_label
_atom_site_type_symbol
_atom_site_fract_x
_atom_site_fract_y
_atom_site_fract_z
Cu1 Cu 0.7725 0.2500 0.6803
Cu2 Cu 0.2275 0.7500 0.3197
I1 I 0.5887 0.2500 0.8439
I2 I 0.0040 0.4938 0.2603
I3 I 0.0040 0.0062 0.2603
I4 I 0.9960 0.9938 0.7397
I5 I 0.6165 0.2500 0.4339
I6 I 0.4113 0.7500 0.1561
I7 I 0.3835 0.7500 0.5661
I8 I 0.9960 0.5062 0.7397
Cs1 Cs 0.2853 0.2500 0.0656
Cs2 Cs 0.7147 0.7500 0.9344
K1 K 0.2690 0.2500 0.5555
K2 K 0.7310 0.7500 0.4445
# **Crystal system**: monoclinic


Record 3
# GGA-PBE CsK2Cu2I6, optimized geometry
data_CsK2Cu2I6
_chemical_formula_sum 'Cs1 K2 Cu2 I6'
_symmetry_space_group_name_H-M 'P 1'
_symmetry_Int_Tables_number 1
_symmetry_space_group_name_Hall 'P 1'
_cell_length_a 7.9708
_cell_length_b 7.3220
_cell_length_c 11.1822
_cell_angle_alpha 107.43
_cell_angle_beta 90.00
_cell_angle_gamma 122.98
loop_
_atom_site_label
_atom_site_type_symbol
_atom_site_fract_x
_atom_site_fract_y
_atom_site_fract_z
I1 I 0.8037 0.1261 0.8295
I2 I 0.6776 0.8739 0.1705
I3 I 0.8122 0.6243 0.4886
I4 I 0.1963 0.8739 0.1705
I5 I 0.1878 0.3757 0.5114
I6 I 0.3224 0.1261 0.8295
Cu1 Cu 0.0286 0.0571 0.2980
Cu2 Cu 0.9714 0.9429 0.7020
K1 K 0.3130 0.6260 0.8568
K2 K 0.6870 0.3740 0.1432
Cs1 Cs 0.5000 0.0000 0.5000
# **Crystal system**: monoclinic


Record 4
# GGA-PBE CsKCu2I4, optimized geometry
data_CsKCu2I4
_chemical_formula_sum 'Cs1 K1 Cu2 I4'
_symmetry_space_group_name_H-M 'P 1'
_symmetry_Int_Tables_number 1
_symmetry_space_group_name_Hall 'P 1'
_cell_length_a 8.4081
_cell_length_b 7.8262
_cell_length_c 7.8262
_cell_angle_alpha 72.11
_cell_angle_beta 57.51
_cell_angle_gamma 57.51
loop_
_atom_site_label
_atom_site_type_symbol
_atom_site_fract_x
_atom_site_fract_y
_atom_site_fract_z
Cs1 Cs 0.0000 0.0000 0.0000
Cu1 Cu 0.8620 0.6380 0.6380
Cu2 Cu 0.1380 0.3620 0.3620
I1 I 0.9841 0.4873 0.1299
I2 I 0.6013 0.5127 0.8701
I3 I 0.0159 0.8701 0.5127
I4 I 0.3987 0.1299 0.4873
K1 K 0.5000 0.5000 0.5000
# **Crystal system**: orthorhombic


Record 5
# GGA-PBE Cs2KCu2I7, optimized geometry
data_Cs2KCu2I7
_chemical_formula_sum 'Cs2 K1 Cu2 I7'
_symmetry_space_group_name_H-M 'P 1'
_symmetry_Int_Tables_number 1
_symmetry_space_group_name_Hall 'P 1'
_cell_length_a 5.6959
_cell_length_b 5.6959
_cell_length_c 15.3364
_cell_angle_alpha 79.28
_cell_angle_beta 79.28
_cell_angle_gamma 90.00
loop_
_atom_site_label
_atom_site_type_symbol
_atom_site_fract_x
_atom_site_fract_y
_atom_site_fract_z
I1 I 0.5867 0.0868 0.8274
I2 I 0.0868 0.5867 0.8274
I3 I 0.5000 0.5000 0.0000
I4 I 0.4133 0.9132 0.1726
I5 I 0.6874 0.6874 0.6256
I6 I 0.9132 0.4133 0.1726
I7 I 0.3126 0.3126 0.3744
K1 K 0.0000 0.0000 0.0000
Cs1 Cs 0.8221 0.8221 0.3560
Cs2 Cs 0.1779 0.1779 0.6440
Cu1 Cu 0.4031 0.4031 0.1902
Cu2 Cu 0.5969 0.5969 0.8098
# **Crystal system**: monoclinic


Record 6
# GGA-PBE CsLaCu2I8, optimized geometry
data_CsLaCu2I8
_chemical_formula_sum 'Cs1 La1 Cu2 I8'
_symmetry_space_group_name_H-M 'P 1'
_symmetry_Int_Tables_number 1
_symmetry_space_group_name_Hall 'P 1'
_cell_length_a 7.3985
_cell_length_b 7.3985
_cell_length_c 11.3118
_cell_angle_alpha 70.06
_cell_angle_beta 70.06
_cell_angle_gamma 69.62
loop_
_atom_site_label
_atom_site_type_symbol
_atom_site_fract_x
_atom_site_fract_y
_atom_site_fract_z
I1 I 0.3774 0.3774 0.6049
I2 I 0.3325 0.8297 0.7643
I3 I 0.2523 0.2523 0.0199
I4 I 0.7477 0.7477 0.9801
I5 I 0.6226 0.6226 0.3951
I6 I 0.1703 0.6675 0.2357
I7 I 0.6675 0.1703 0.2357
I8 I 0.8297 0.3325 0.7643
Cu1 Cu 0.5667 0.5667 0.2002
Cu2 Cu 0.4333 0.4333 0.7998
Cs1 Cs 0.0000 0.0000 0.5000
La1 La 0.0000 0.0000 0.0000
# **Crystal system**: monoclinic


Record 7
# GGA-PBE Cs2LaCuI6, optimized geometry
data_Cs2LaCuI6
_chemical_formula_sum 'Cs2 La1 Cu1 I6'
_symmetry_space_group_name_H-M 'P 1'
_symmetry_Int_Tables_number 1
_symmetry_space_group_name_Hall 'P 1'
_cell_length_a 7.1568
_cell_length_b 8.5667
_cell_length_c 8.5667
_cell_angle_alpha 120.00
_cell_angle_beta 90.00
_cell_angle_gamma 90.00
loop_
_atom_site_label
_atom_site_type_symbol
_atom_site_fract_x
_atom_site_fract_y
_atom_site_fract_z
I1 I 0.7712 0.6669 0.8335
I2 I 0.2288 0.8335 0.6669
I3 I 0.2288 0.3331 0.1665
I4 I 0.7712 0.1665 0.3331
I5 I 0.2288 0.8335 0.1665
I6 I 0.7712 0.1665 0.8335
Cs1 Cs 0.7473 0.6667 0.3333
Cs2 Cs 0.2527 0.3333 0.6667
Cu1 Cu 0.0000 0.0000 0.0000
La1 La 0.5000 0.0000 0.0000
# **Polymorph energy (0 for the lowest one)**: 0 meV/atom
# **Crystal system**: trigonal


Record 8
# GGA-PBE CsLaCuI6, optimized geometry
data_CsLaCuI6
_chemical_formula_sum 'Cs1 La1 Cu1 I6'
_symmetry_space_group_name_H-M 'P 1'
_symmetry_Int_Tables_number 1
_symmetry_space_group_name_Hall 'P 1'
_cell_length_a 8.6215
_cell_length_b 7.6617
_cell_length_c 8.5032
_cell_angle_alpha 86.20
_cell_angle_beta 80.41
_cell_angle_gamma 54.79
loop_
_atom_site_label
_atom_site_type_symbol
_atom_site_fract_x
_atom_site_fract_y
_atom_site_fract_z
La1 La 0.6697 0.6427 0.5254
I1 I 0.6256 0.4058 0.8159
I2 I 0.4194 0.5703 0.3348
I3 I 0.0317 0.3721 0.2546
I4 I 0.5751 0.0020 0.2619
I5 I 0.3447 0.0877 0.7057
I6 I 0.9851 0.6839 0.6362
Cu1 Cu 0.2800 0.3390 0.4501
Cs1 Cs 0.0683 0.8965 0.0153
# **Crystal system**: triclinic


Record 9
# GGA-PBE CsLaCu2I, optimized geometry
data_CsLaCu2I
_chemical_formula_sum 'Cs1 La1 Cu2 I1'
_symmetry_space_group_name_H-M 'P 1'
_symmetry_Int_Tables_number 1
_symmetry_space_group_name_Hall 'P 1'
_cell_length_a 5.6356
_cell_length_b 6.3684
_cell_length_c 5.6356
_cell_angle_alpha 90.00
_cell_angle_beta 90.00
_cell_angle_gamma 90.00
loop_
_atom_site_label
_atom_site_type_symbol
_atom_site_fract_x
_atom_site_fract_y
_atom_site_fract_z
I1 I 0.0000 0.5000 0.0000
Cu1 Cu 0.5000 0.0000 0.0000
Cu2 Cu 0.0000 0.0000 0.5000
La1 La 0.0000 0.0000 0.0000
Cs1 Cs 0.5000 0.5000 0.5000
# **Crystal system**: tetragonal


Record 10
# GGA-PBE Cs2LaCuI6, optimized geometry
data_Cs2LaCuI6
_chemical_formula_sum 'Cs2 La1 Cu1 I6'
_symmetry_space_group_name_H-M 'P 1'
_symmetry_Int_Tables_number 1
_symmetry_space_group_name_Hall 'P 1'
_cell_length_a 8.5660
_cell_length_b 8.5660
_cell_length_c 8.5741
_cell_angle_alpha 60.03
_cell_angle_beta 60.03
_cell_angle_gamma 90.00
loop_
_atom_site_label
_atom_site_type_symbol
_atom_site_fract_x
_atom_site_fract_y
_atom_site_fract_z
I1 I 0.7391 0.7391 0.0000
I2 I 0.7391 0.2609 0.0000
I3 I 0.7396 0.7396 0.5208
I4 I 0.2604 0.2604 0.4792
I5 I 0.2609 0.7391 0.0000
I6 I 0.2609 0.2609 0.0000
Cs1 Cs 0.2500 0.7500 0.5000
Cs2 Cs 0.7500 0.2500 0.5000
La1 La 0.0000 0.0000 0.0000
Cu1 Cu 0.5000 0.5000 0.0000
# **Polymorph energy (0 for the lowest one)**: 21 meV/atom
# **Crystal system**: tetragonal


| no. | formation energy (no corrections) (eV per atom) | size of the total moment (μB per formula unit) | mass density (g cm⁻³) |
| --- | --- | --- | --- |
| 1 | -0.362 | 1.1 | 4.9 |
| 2 | -0.914 | 0.0 | 3.9 |
| 3 | -0.847 | 0.0 | 3.6 |
| 4 | -0.791 | 0.0 | 3.7 |
| 5 | -0.764 | 0.0 | 4.6 |
| 6 | -0.777 | 0.0 | 4.4 |
| 7 | -1.233 | 0.0 | 4.5 |
| 8 | -1.016 | 0.9 | 4.0 |
| 9 | -0.032 | 0.0 | 4.3 |
| 10 | -1.212 | 0.0 | 4.6 |